1.
Entry from the Alexandria database: crystalline Li4PmAu5 at its relaxed geometry (PBE).

Values from the calculation:
- Total moment: 0.0 μB per cell
- Symmetry: P4/mmm (123)
- Energy of formation from the pure elements: -0.5710 eV per atom
- VASP energy: -0.1268 Ha/atom

Cell: 3.3337 3.3337 15.7206 Å, 90.00 90.00 90.00°
Element x y z (fractional)
Li 0.0000 0.0000 0.0912
Li 0.0000 0.0000 0.2736
Li 0.0000 0.0000 0.7264
Li 0.0000 0.0000 0.9088
Pm 0.0000 0.0000 0.5000
Au 0.5000 0.5000 0.0000
Au 0.5000 0.5000 0.1834
Au 0.5000 0.5000 0.3672
Au 0.5000 0.5000 0.6328
Au 0.5000 0.5000 0.8166


2.
Entry from the Alexandria database: crystalline Rb3Ho3ZrSe8 at its relaxed geometry (PBE).

Values from the calculation:
- Total moment: 0.0 μB per cell
- Symmetry: R-3m (166)
- Formation energy from raw total energies: -1.665 eV per atom
- VASP energy: -0.1912 Ha/atom

Cell: 9.4498 9.4498 9.4498 Å, 51.70 51.70 51.70°
Element x y z (fractional)
Rb 0.0000 0.5000 0.5000
Rb 0.5000 0.0000 0.5000
Rb 0.5000 0.5000 0.0000
Ho 0.0000 0.0000 0.5000
Ho 0.0000 0.5000 0.0000
Ho 0.5000 0.0000 0.0000
Zr 0.5000 0.5000 0.5000
Se 0.2315 0.2315 0.2315
Se 0.2426 0.7231 0.7231
Se 0.2769 0.2769 0.7574
Se 0.2769 0.7574 0.2769
Se 0.7231 0.2426 0.7231
Se 0.7231 0.7231 0.2426
Se 0.7574 0.2769 0.2769
Se 0.7685 0.7685 0.7685


3.
Entry from the Alexandria database: crystalline HPbAu3 at its relaxed geometry (PBE).

Values from the calculation:
- Total moment: 0.0 μB per cell
- Symmetry: Pm-3m (221)
- VASP energy: -0.1150 Ha/atom
- Offset from the most stable computed form: 0.0 kJ/mol of atoms

Cell: 4.4325 4.4325 4.4325 Å, 90.00 90.00 90.00°
Element x y z (fractional)
H 0.0000 0.0000 0.0000
Pb 0.5000 0.5000 0.5000
Au 0.0000 0.0000 0.5000
Au 0.0000 0.5000 0.0000
Au 0.5000 0.0000 0.0000


Please write out number 2 again, unchanged.
Entry from the Alexandria database: crystalline Rb3Ho3ZrSe8 at its relaxed geometry (PBE).

Values from the calculation:
- Total moment: 0.0 μB per cell
- Symmetry: R-3m (166)
- Formation energy from raw total energies: -1.665 eV per atom
- VASP energy: -0.1912 Ha/atom

Cell: 9.4498 9.4498 9.4498 Å, 51.70 51.70 51.70°
Element x y z (fractional)
Rb 0.0000 0.5000 0.5000
Rb 0.5000 0.0000 0.5000
Rb 0.5000 0.5000 0.0000
Ho 0.0000 0.0000 0.5000
Ho 0.0000 0.5000 0.0000
Ho 0.5000 0.0000 0.0000
Zr 0.5000 0.5000 0.5000
Se 0.2315 0.2315 0.2315
Se 0.2426 0.7231 0.7231
Se 0.2769 0.2769 0.7574
Se 0.2769 0.7574 0.2769
Se 0.7231 0.2426 0.7231
Se 0.7231 0.7231 0.2426
Se 0.7574 0.2769 0.2769
Se 0.7685 0.7685 0.7685


What is the total moment in the second record? 0.0 μB per cell


VASP energy of number 1 (Li4PmAu5)? -0.1268 Ha/atom